Entry 1:
Compound: YReAs2Se
Source: Alexandria
Functional: GGA-PBE
Structure: relaxed

Results
- magnetic moment (μB/f.u.) = 0.10
- DOS(E_F) (states/eV per atom) = 1.478
- distance to the lowest polymorph of the same formula (meV per atom) = 1551.3
- raw formation energy (meV/atom) = 1555
- E (eV per atom) = -4.78

a b c (Å): 5.307 5.307 5.205
angles (deg): 90.00 90.00 90.00
Fractional coordinates of all 5 atoms:
Y (0.000, 0.000, 0.000)
Re (0.500, 0.500, 0.500)
As (0.000, 0.500, 0.000)
As (0.500, 0.000, 0.000)
Se (0.000, 0.000, 0.500)



Entry 2:
Compound: Rb2InGaS4
Source: Alexandria
Functional: GGA-PBE
Structure: relaxed

Results
- magnetic moment (μB/f.u.) = 0.00
- DOS(E_F) (states/eV per atom) = 0.000
- raw formation energy (meV/atom) = -934
- E (eV per atom) = -3.96

a b c (Å): 13.809 12.266 7.704
angles (deg): 84.19 62.10 33.71
Fractional coordinates of all 16 atoms:
Rb (0.056, 0.056, 0.694)
Rb (0.306, 0.306, 0.944)
Rb (0.694, 0.694, 0.056)
Rb (0.944, 0.944, 0.306)
In (0.125, 0.125, 0.125)
In (0.875, 0.875, 0.875)
Ga (0.375, 0.375, 0.375)
Ga (0.625, 0.625, 0.625)
S (0.004, 0.351, 0.436)
S (0.292, 0.564, 0.649)
S (0.351, 0.004, 0.708)
S (0.436, 0.708, 0.004)
S (0.564, 0.292, 0.996)
S (0.649, 0.996, 0.292)
S (0.708, 0.436, 0.351)
S (0.996, 0.649, 0.564)



Entry 3:
Compound: Y2TlTc
Source: Alexandria
Functional: GGA-PBE
Structure: relaxed

Results
- magnetic moment (μB/f.u.) = 0.00
- DOS(E_F) (states/eV per atom) = 1.538
- E_form (eV per formula unit) = 0.02
- E (eV per atom) = -6.41

a b c (Å): 4.658 5.884 5.884
angles (deg): 37.97 90.00 90.00
Fractional coordinates of all 4 atoms:
Y (0.000, 0.000, 0.000)
Y (0.500, 0.297, 0.297)
Tl (0.000, 0.719, 0.719)
Tc (0.500, 0.571, 0.571)



Entry 4:
Compound: NpZnGa4
Source: Alexandria
Functional: GGA-PBE
Structure: relaxed

Results
- magnetic moment (μB/f.u.) = 5.03
- DOS(E_F) (states/eV per atom) = 2.209
- E_form (eV per formula unit) = 0.42
- E (eV per atom) = -4.32

a b c (Å): 5.466 5.466 5.466
angles (deg): 60.00 60.00 60.00
Fractional coordinates of all 6 atoms:
Np (0.000, 0.000, 0.000)
Zn (0.750, 0.750, 0.750)
Ga (0.375, 0.375, 0.375)
Ga (0.375, 0.375, 0.876)
Ga (0.375, 0.876, 0.375)
Ga (0.876, 0.375, 0.375)



Entry 5:
Compound: Sr2YSc
Source: Alexandria
Functional: GGA-PBE
Structure: relaxed

Results
- magnetic moment (μB/f.u.) = 0.45
- DOS(E_F) (states/eV per atom) = 1.701
- E_form (eV per formula unit) = 1.34
- distance to the lowest polymorph of the same formula (meV per atom) = 184.0
- E (eV per atom) = -3.70

a b c (Å): 3.631 3.631 12.169
angles (deg): 90.00 90.00 110.16
Fractional coordinates of all 4 atoms:
Sr (0.000, 0.000, 0.240)
Sr (0.000, 0.000, 0.760)
Y (0.500, 0.500, 0.500)
Sc (0.500, 0.500, 0.000)



Entry 6:
Compound: PrDy3Th3
Source: Alexandria
Functional: GGA-PBE
Structure: relaxed

Results
- magnetic moment (μB/f.u.) = 0.00
- DOS(E_F) (states/eV per atom) = 1.726
- E_form (eV per formula unit) = 0.53
- E (eV per atom) = -5.76

a b c (Å): 9.523 9.523 5.870
angles (deg): 90.00 90.00 120.00
Fractional coordinates of all 14 atoms:
Pr (0.333, 0.667, 0.250)
Pr (0.667, 0.333, 0.750)
Dy (0.043, 0.805, 0.250)
Dy (0.195, 0.238, 0.250)
Dy (0.238, 0.043, 0.750)
Dy (0.762, 0.957, 0.250)
Dy (0.805, 0.762, 0.750)
Dy (0.957, 0.195, 0.750)
Th (0.101, 0.616, 0.750)
Th (0.384, 0.485, 0.750)
Th (0.485, 0.101, 0.250)
Th (0.515, 0.899, 0.750)
Th (0.616, 0.515, 0.250)
Th (0.899, 0.384, 0.250)



Entry 7:
Compound: Ge2BiC
Source: Alexandria
Functional: GGA-PBE
Structure: relaxed

Results
- magnetic moment (μB/f.u.) = 0.00
- DOS(E_F) (states/eV per atom) = 0.415
- E_form (eV per formula unit) = 2.75
- distance to the lowest polymorph of the same formula (meV per atom) = 0.0
- E (eV per atom) = -4.90

a b c (Å): 6.106 6.106 6.106
angles (deg): 119.86 119.86 90.23
Fractional coordinates of all 8 atoms:
Ge (0.014, 0.625, 0.889)
Ge (0.375, 0.264, 0.389)
Ge (0.736, 0.125, 0.111)
Ge (0.875, 0.986, 0.611)
Bi (0.250, 0.750, 0.500)
Bi (0.500, 0.500, 0.000)
C (0.000, 0.000, 0.000)
C (0.750, 0.250, 0.500)



Entry 8:
Compound: La8Pr5Al
Source: Alexandria
Functional: GGA-PBE
Structure: relaxed

Results
- magnetic moment (μB/f.u.) = 0.00
- DOS(E_F) (states/eV per atom) = 1.628
- E_form (eV per formula unit) = 1.70
- E (eV per atom) = -4.67

a b c (Å): 8.713 8.713 10.485
angles (deg): 126.96 126.96 63.35
Fractional coordinates of all 14 atoms:
La (0.020, 0.489, 0.913)
La (0.028, 0.028, 0.188)
La (0.189, 0.494, 0.597)
La (0.453, 0.227, 0.868)
La (0.506, 0.811, 0.403)
La (0.511, 0.980, 0.087)
La (0.773, 0.547, 0.132)
La (0.972, 0.972, 0.812)
Pr (0.056, 0.944, 0.500)
Pr (0.261, 0.423, 0.285)
Pr (0.577, 0.739, 0.715)
Pr (0.637, 0.250, 0.602)
Pr (0.750, 0.363, 0.398)
Al (0.307, 0.693, 0.000)



Entry 9:
Compound: TbScNi4
Source: Alexandria
Functional: GGA-PBE
Structure: relaxed

Results
- magnetic moment (μB/f.u.) = 0.00
- DOS(E_F) (states/eV per atom) = 0.620
- E_form (eV per formula unit) = -2.81
- E (eV per atom) = -6.15

a b c (Å): 4.986 4.986 4.986
angles (deg): 60.00 60.00 60.00
Fractional coordinates of all 6 atoms:
Tb (0.000, 0.000, 0.000)
Sc (0.250, 0.250, 0.250)
Ni (0.127, 0.624, 0.624)
Ni (0.624, 0.127, 0.624)
Ni (0.624, 0.624, 0.127)
Ni (0.624, 0.624, 0.624)



Entry 10:
Compound: YMo3
Source: Alexandria
Functional: GGA-PBE
Structure: relaxed

Results
- magnetic moment (μB/f.u.) = 0.00
- DOS(E_F) (states/eV per atom) = 0.924
- E_form (eV per formula unit) = 2.25
- distance to the lowest polymorph of the same formula (meV per atom) = 307.3
- E (eV per atom) = -9.18

a b c (Å): 5.288 5.288 5.288
angles (deg): 90.00 90.00 90.00
Fractional coordinates of all 8 atoms:
Y (0.000, 0.000, 0.000)
Y (0.500, 0.500, 0.500)
Mo (0.000, 0.250, 0.500)
Mo (0.000, 0.750, 0.500)
Mo (0.250, 0.500, 0.000)
Mo (0.500, 0.000, 0.250)
Mo (0.500, 0.000, 0.750)
Mo (0.750, 0.500, 0.000)



Entry 11:
Compound: Rb3Sb2O4
Source: Alexandria
Functional: GGA-PBE
Structure: relaxed

Results
- magnetic moment (μB/f.u.) = 0.89
- DOS(E_F) (states/eV per atom) = 0.298
- raw formation energy (meV/atom) = -1292
- E (eV per atom) = -4.73

a b c (Å): 9.215 9.215 5.955
angles (deg): 98.77 98.77 96.63
Fractional coordinates of all 18 atoms:
Rb (0.112, 0.888, 0.750)
Rb (0.285, 0.507, 0.440)
Rb (0.493, 0.715, 0.060)
Rb (0.507, 0.285, 0.940)
Rb (0.715, 0.493, 0.560)
Rb (0.888, 0.112, 0.250)
Sb (0.108, 0.311, 0.849)
Sb (0.311, 0.108, 0.349)
Sb (0.689, 0.892, 0.651)
Sb (0.892, 0.689, 0.151)
O (0.171, 0.174, 0.581)
O (0.174, 0.171, 0.081)
O (0.276, 0.464, 0.928)
O (0.464, 0.276, 0.428)
O (0.536, 0.724, 0.572)
O (0.724, 0.536, 0.072)
O (0.826, 0.829, 0.919)
O (0.829, 0.826, 0.419)



Entry 12:
Compound: Al2CoMoS
Source: Alexandria
Functional: GGA-PBE
Structure: relaxed

Results
- magnetic moment (μB/f.u.) = 1.41
- DOS(E_F) (states/eV per atom) = 1.124
- raw formation energy (meV/atom) = 1138
- E (eV per atom) = -4.77

a b c (Å): 4.921 4.921 4.417
angles (deg): 90.00 90.00 90.00
Fractional coordinates of all 5 atoms:
Al (0.000, 0.500, 0.000)
Al (0.500, 0.000, 0.000)
Co (0.000, 0.000, 0.500)
Mo (0.000, 0.000, 0.000)
S (0.500, 0.500, 0.500)



Entry 13:
Compound: CoRh
Source: Alexandria
Functional: GGA-PBE
Structure: relaxed

Results
- magnetic moment (μB/f.u.) = 2.14
- DOS(E_F) (states/eV per atom) = 1.814
- E_form (eV per formula unit) = 0.96
- E (eV per atom) = -6.75

a b c (Å): 5.848 5.666 4.895
angles (deg): 66.79 62.92 50.29
Fractional coordinates of all 8 atoms:
Co (0.043, 0.707, 0.707)
Co (0.293, 0.957, 0.957)
Co (0.707, 0.043, 0.043)
Co (0.957, 0.293, 0.293)
Rh (0.195, 0.555, 0.195)
Rh (0.445, 0.805, 0.445)
Rh (0.555, 0.195, 0.555)
Rh (0.805, 0.445, 0.805)



Entry 14:
Compound: KBa2AgRh
Source: Alexandria
Functional: GGA-PBE
Structure: relaxed

Results
- magnetic moment (μB/f.u.) = 0.00
- DOS(E_F) (states/eV per atom) = 0.526
- E_form (eV per formula unit) = 0.06
- E (eV per atom) = -3.02

a b c (Å): 5.985 5.985 5.531
angles (deg): 90.00 90.00 90.00
Fractional coordinates of all 5 atoms:
K (0.000, 0.000, 0.000)
Ba (0.000, 0.500, 0.500)
Ba (0.500, 0.000, 0.500)
Ag (0.500, 0.500, 0.000)
Rh (0.500, 0.500, 0.500)



Entry 15:
Compound: KBaCuCl4
Source: Alexandria
Functional: GGA-PBE
Structure: relaxed

Results
- magnetic moment (μB/f.u.) = 0.15
- DOS(E_F) (states/eV per atom) = 0.000
- raw formation energy (meV/atom) = -1750
- E (eV per atom) = -3.82

a b c (Å): 6.970 6.939 8.833
angles (deg): 90.00 107.60 90.00
Fractional coordinates of all 14 atoms:
K (0.240, 0.250, 0.437)
K (0.760, 0.750, 0.563)
Ba (0.265, 0.250, 0.943)
Ba (0.735, 0.750, 0.057)
Cu (0.268, 0.750, 0.191)
Cu (0.732, 0.250, 0.809)
Cl (0.083, 0.750, 0.366)
Cl (0.094, 0.750, 0.919)
Cl (0.497, 0.503, 0.759)
Cl (0.497, 0.997, 0.759)
Cl (0.503, 0.003, 0.241)
Cl (0.503, 0.497, 0.241)
Cl (0.906, 0.250, 0.081)
Cl (0.917, 0.250, 0.634)



Entry 16:
Compound: LiNd2TlH
Source: Alexandria
Functional: GGA-PBE
Structure: relaxed

Results
- magnetic moment (μB/f.u.) = 0.00
- DOS(E_F) (states/eV per atom) = 0.787
- E (eV per atom) = -3.78

a b c (Å): 5.063 5.063 4.343
angles (deg): 90.00 90.00 90.00
Fractional coordinates of all 5 atoms:
Li (0.000, 0.000, 0.000)
Nd (0.000, 0.500, 0.500)
Nd (0.500, 0.000, 0.500)
Tl (0.500, 0.500, 0.000)
H (0.000, 0.000, 0.500)



Entry 17:
Compound: AlRu2W
Source: Alexandria
Functional: GGA-PBE
Structure: relaxed

Results
- magnetic moment (μB/f.u.) = 0.00
- DOS(E_F) (states/eV per atom) = 0.555
- E_form (eV per formula unit) = -1.57
- E (eV per atom) = -9.20

a b c (Å): 3.007 3.007 6.306
angles (deg): 90.00 90.00 90.00
Fractional coordinates of all 4 atoms:
Al (0.000, 0.000, 0.000)
Ru (0.500, 0.500, 0.239)
Ru (0.500, 0.500, 0.761)
W (0.000, 0.000, 0.500)



Entry 18:
Compound: CrOs3Br
Source: Alexandria
Functional: GGA-PBE
Structure: relaxed

Results
- magnetic moment (μB/f.u.) = 2.16
- DOS(E_F) (states/eV per atom) = 1.268
- distance to the lowest polymorph of the same formula (meV per atom) = 0.0
- raw formation energy (meV/atom) = 2162
- E (eV per atom) = -6.83

a b c (Å): 4.541 4.541 4.541
angles (deg): 90.00 90.00 90.00
Fractional coordinates of all 5 atoms:
Cr (0.000, 0.000, 0.000)
Os (0.000, 0.000, 0.500)
Os (0.000, 0.500, 0.000)
Os (0.500, 0.000, 0.000)
Br (0.500, 0.500, 0.500)



Entry 19:
Compound: SnBP2I
Source: Alexandria
Functional: GGA-PBE
Structure: relaxed

Results
- magnetic moment (μB/f.u.) = 0.00
- DOS(E_F) (states/eV per atom) = 0.419
- raw formation energy (meV/atom) = 790
- E (eV per atom) = -3.82

a b c (Å): 4.252 4.252 5.839
angles (deg): 90.00 90.00 90.00
Fractional coordinates of all 5 atoms:
Sn (0.000, 0.000, 0.000)
B (0.000, 0.000, 0.500)
P (0.000, 0.500, 0.500)
P (0.500, 0.000, 0.500)
I (0.500, 0.500, 0.000)



Entry 20:
Compound: Na2LiMnHg
Source: Alexandria
Functional: GGA-PBE
Structure: relaxed

Results
- magnetic moment (μB/f.u.) = 4.59
- DOS(E_F) (states/eV per atom) = 0.712
- E_form (eV per formula unit) = 2.78
- E (eV per atom) = -2.25

a b c (Å): 5.605 5.605 5.073
angles (deg): 90.00 90.00 90.00
Fractional coordinates of all 5 atoms:
Na (0.000, 0.500, 0.000)
Na (0.500, 0.000, 0.000)
Li (0.000, 0.000, 0.500)
Mn (0.500, 0.500, 0.500)
Hg (0.000, 0.000, 0.000)